AlPb2Br | PBE | optimized geometry

energy relative to the lowest polymorph listed for this composition	0.000	eV per atom
M_tot	0.00	μB/f.u.
space-group type	P2/m, No. 10
raw formation energy	-0.073	eV per atom

Cell: 3.5595 3.5780 9.4708 Å, 66.05 90.00 90.00°
Closest atoms and distances in Å follow each position.
Sites, in units of the cell vectors:
Pb 0.0000 0.9961 0.0206  4 Al 3.21, 4 Br 3.38-3.51, 4 Pb 3.56-3.58
Pb 0.0000 0.5039 0.4794  4 Al 3.21, 4 Br 3.38-3.51, 4 Pb 3.56-3.58
Al 0.5000 0.2500 0.2500  8 Pb 3.21, 4 Al 3.56-3.58
Br 0.5000 0.7500 0.7500  8 Pb 3.38-3.51, 4 Br 3.56-3.58



AlPbBr2 | PBE | optimized geometry

energy relative to the lowest polymorph listed for this composition	0.217	eV per atom
M_tot	0.00	μB/f.u.
space-group type	Fm-3m, No. 225
raw formation energy	-0.172	eV per atom

Cell: 5.4084 5.4084 5.4084 Å, 60.00 60.00 60.00°
Closest atoms and distances in Å follow each position.
Sites, in units of the cell vectors:
Pb 0.5000 0.5000 0.5000  8 Br 3.31
Al 0.0000 0.0000 0.0000  8 Br 3.31
Br 0.2500 0.2500 0.2500  4 Pb 3.31, 4 Al 3.31
Br 0.7500 0.7500 0.7500  4 Pb 3.31, 4 Al 3.31



AlPb2Br | PBE | optimized geometry

energy relative to the lowest polymorph listed for this composition	0.076	eV per atom
M_tot	0.00	μB/f.u.
space-group type	Cm, No. 8
raw formation energy	0.002	eV per atom

Cell: 6.4645 6.4645 5.6405 Å, 64.09 64.09 32.03°
Closest atoms and distances in Å follow each position.
Sites, in units of the cell vectors:
Pb 0.0008 0.0008 0.9991  4 Al 3.33-3.35, 6 Pb 3.57-3.72, 4 Br 3.62-3.71
Pb 0.7830 0.7830 0.7186  2 Al 3.07, 2 Br 3.44
Al 0.5089 0.5089 0.4884  2 Br 2.83, 2 Pb 3.07
Br 0.2072 0.2072 0.2939  2 Al 2.83



AlPbBr2 | PBE | optimized geometry

energy relative to the lowest polymorph listed for this composition	0.217	eV per atom
M_tot	0.00	μB/f.u.
space-group type	Cmmm, No. 65
raw formation energy	-0.172	eV per atom

Cell: 5.2884 5.2898 4.0298 Å, 90.00 90.00 90.13°
Closest atoms and distances in Å follow each position.
Sites, in units of the cell vectors:
Pb 0.5000 0.0000 0.5000  8 Br 3.32
Al 0.0000 0.5000 0.5000  8 Br 3.32
Br 0.0000 0.0000 0.0000  4 Pb 3.32, 4 Al 3.32
Br 0.5000 0.5000 0.0000  4 Al 3.32, 4 Pb 3.32



Al2PbBr8 | PBE | optimized geometry

energy relative to the lowest polymorph listed for this composition	0.006	eV per atom
M_tot	0.00	μB/f.u.
space-group type	C2/m, No. 12
raw formation energy	-1.072	eV per atom

Cell: 6.7473 8.5029 8.5029 Å, 73.21 82.39 82.39°
Closest atoms and distances in Å follow each position.
Sites, in units of the cell vectors:
Al 0.6596 0.8000 0.8000  4 Br 2.27-2.36
Al 0.3404 0.2000 0.2000  4 Br 2.27-2.36
Pb 0.0000 0.0000 0.0000  6 Br 3.07-3.09
Br 0.2480 0.2959 0.9276  1 Al 2.36
Br 0.7520 0.0724 0.7041  1 Al 2.36
Br 0.3085 0.8055 0.8055  1 Al 2.36
Br 0.6915 0.1945 0.1945  1 Al 2.36
Br 0.2480 0.9276 0.2959  1 Al 2.36
Br 0.7520 0.7041 0.0724  1 Al 2.36
Br 0.8038 0.6375 0.6375  1 Al 2.27
Br 0.1962 0.3625 0.3625  1 Al 2.27



AlPb2Br | PBE | optimized geometry

energy relative to the lowest polymorph listed for this composition	0.067	eV per atom
M_tot	0.00	μB/f.u.
space-group type	Pmm2, No. 25
raw formation energy	-0.006	eV per atom

Cell: 3.4251 5.4733 6.1791 Å, 90.00 90.00 90.00°
Closest atoms and distances in Å follow each position.
Sites, in units of the cell vectors:
Pb 0.0000 0.0000 0.8744  2 Al 3.09, 4 Br 3.23, 2 Pb 3.43
Pb 0.5000 0.5000 0.3755  2 Br 3.09, 4 Al 3.23, 2 Pb 3.43
Al 0.0000 0.0000 0.3745  6 Pb 3.09-3.23, 2 Al 3.43
Br 0.5000 0.5000 0.8756  6 Pb 3.09-3.23, 2 Br 3.43



Question: raw formation energy of number 5 (Al2PbBr8)?
Answer: -1.072 eV per atom



Question: What is the M_tot in the fourth record?
Answer: 0.00 μB/f.u.



Question: Which of these has the lowest raw formation energy?
Answer: Al2PbBr8